# SbMo2Pb

A crystal of SbMo2Pb relaxed with PBEsol (meta-GGA SCAN, the Alexandria database).

Cell and atoms, written as extended XYZ:
```
4
Lattice="4.6936 0.0000 0.0000 2.3468 4.0648 0.0000 2.3468 1.3549 3.8323" Properties=species:S:1:pos:R:3 pbc="T T T"
Mo 2.3468 1.3549 0.9581
Mo 7.0404 4.0648 2.8742
Pb 0.0000 0.0000 0.0000
Sb 4.6936 2.7099 1.9162
```

Output
The value obtained for the magnetic moment is 1.44 μB/f.u. The raw formation energy is 0.63 eV/atom. The total energy comes out at -180.28 eV/cell. Its symmetry is Fm-3m.